Entry from the Alexandria database: crystalline Li2Ir2F at its relaxed geometry (PBE).

Values from the calculation:
E above lowest polymorph (meV/atom): 799.8
Space group: No. 139

Unit cell a=5.039 b=5.039 c=4.837 alpha=58.60 beta=58.60 gamma=90.00
Sites, in units of the cell vectors:
F  0.000  0.000  0.000
Ir  0.326  0.326  0.349
Ir  0.674  0.674  0.651
Li  0.750  0.250  0.500
Li  0.250  0.750  0.500

Entry from the Alexandria database: crystalline NaTb2Er3Te6 at its relaxed geometry (PBE).

Values from the calculation:
Space group: No. 12
Total energy (eV/cell): -58.5

Unit cell a=4.338 b=8.786 c=9.785 alpha=103.31 beta=102.81 gamma=90.00
Sites, in units of the cell vectors:
Er  0.165  0.826  0.330
Er  0.835  0.174  0.670
Er  0.500  0.500  0.000
Te  0.331  0.918  0.662
Te  0.669  0.082  0.338
Te  0.336  0.413  0.673
Te  0.664  0.587  0.327
Te  0.999  0.746  0.997
Te  0.001  0.254  0.003
Na  0.500  0.000  0.000
Tb  0.171  0.345  0.342
Tb  0.829  0.655  0.658

Entry from the Alexandria database: crystalline LaW2Cl at its relaxed geometry (PBE).

Values from the calculation:
E above lowest polymorph (meV/atom): 869.4
Space group: No. 47

Unit cell a=2.908 b=5.577 c=5.420 alpha=90.00 beta=90.00 gamma=90.00
Sites, in units of the cell vectors:
W  0.000  0.000  0.975
W  0.000  0.000  0.525
La  0.500  0.500  0.750
Cl  0.500  0.500  0.250

Entry from the Alexandria database: crystalline Sc5Ni4Ru at its relaxed geometry (PBE).

Values from the calculation:
Space group: No. 123
Calculated formation energy (eV per atom): -0.5383

Unit cell a=3.182 b=3.182 c=15.878 alpha=90.00 beta=90.00 gamma=90.00
Sites, in units of the cell vectors:
Sc  0.500  0.500  0.699
Sc  0.500  0.500  0.500
Sc  0.500  0.500  0.099
Sc  0.500  0.500  0.301
Sc  0.500  0.500  0.901
Ni  0.000  0.000  0.600
Ni  0.000  0.000  0.400
Ni  0.000  0.000  0.798
Ni  0.000  0.000  0.202
Ru  0.000  0.000  0.000

Entry from the Alexandria database: crystalline KAc2NpS6 at its relaxed geometry (PBE).

Values from the calculation:
Space group: No. 146
Total energy (eV/cell): -63.4

Unit cell a=7.443 b=7.443 c=7.766 alpha=61.37 beta=61.37 gamma=60.00
Sites, in units of the cell vectors:
Ac  0.529  0.529  0.414
Ac  0.013  0.013  0.962
S  0.154  0.389  0.767
S  0.223  0.965  0.238
S  0.965  0.573  0.238
S  0.573  0.223  0.238
S  0.389  0.690  0.767
S  0.690  0.154  0.767
K  0.801  0.801  0.597
Np  0.324  0.324  0.027

Entry from the Alexandria database: crystalline YIrCl at its relaxed geometry (PBE).

Values from the calculation:
E above lowest polymorph (meV/atom): 751.9
Space group: No. 156

Unit cell a=3.520 b=3.520 c=6.928 alpha=90.00 beta=90.00 gamma=120.00
Sites, in units of the cell vectors:
Y  0.667  0.333  0.665
Cl  0.000  0.000  0.936
Ir  0.333  0.667  0.399

Entry from the Alexandria database: crystalline K2NdTlCl6 at its relaxed geometry (PBE).

Values from the calculation:
Space group: No. 146
Total energy (eV/cell): -39.7

Unit cell a=7.809 b=7.809 c=8.166 alpha=61.43 beta=61.43 gamma=59.99
Sites, in units of the cell vectors:
Tl  0.811  0.811  0.568
Cl  0.973  0.572  0.243
Cl  0.212  0.973  0.243
Cl  0.128  0.418  0.776
Cl  0.572  0.212  0.243
Cl  0.677  0.128  0.776
Cl  0.418  0.677  0.776
K  0.019  0.019  0.942
K  0.529  0.529  0.413
Nd  0.322  0.322  0.035

Entry from the Alexandria database: crystalline Tb12CePr3 at its relaxed geometry (PBE).

Values from the calculation:
Space group: No. 123
Calculated formation energy (eV per atom): 0.0303

Unit cell a=5.074 b=5.074 c=20.278 alpha=90.00 beta=90.00 gamma=90.00
Sites, in units of the cell vectors:
Pr  0.000  0.000  0.752
Pr  0.000  0.000  0.500
Pr  0.000  0.000  0.248
Tb  0.000  0.500  0.878
Tb  0.000  0.500  0.626
Tb  0.500  0.000  0.878
Tb  0.000  0.500  0.122
Tb  0.000  0.500  0.374
Tb  0.500  0.500  0.751
Tb  0.500  0.000  0.626
Tb  0.500  0.000  0.122
Tb  0.500  0.500  0.249
Tb  0.500  0.000  0.374
Tb  0.500  0.500  0.000
Tb  0.500  0.500  0.500
Ce  0.000  0.000  0.000

Entry from the Alexandria database: crystalline Tb8Nd5In at its relaxed geometry (PBE).

Values from the calculation:
Space group: No. 82
Calculated formation energy (eV per atom): 0.1751

Unit cell a=8.482 b=8.482 c=8.482 alpha=110.03 beta=108.36 gamma=110.03
Sites, in units of the cell vectors:
Tb  0.519  0.603  0.257
Tb  0.743  0.262  0.346
Tb  0.338  0.275  0.442
Tb  0.166  0.725  0.063
Tb  0.654  0.397  0.916
Tb  0.084  0.738  0.481
Tb  0.937  0.103  0.662
Tb  0.558  0.897  0.834
Nd  0.872  0.889  0.185
Nd  0.295  0.111  0.982
Nd  0.500  0.000  0.500
Nd  0.018  0.313  0.128
Nd  0.815  0.687  0.705
In  0.250  0.500  0.750

Entry from the Alexandria database: crystalline RbB2Pt at its relaxed geometry (PBE).

Values from the calculation:
E above lowest polymorph (meV/atom): 1585.4
Space group: No. 225
Calculated formation energy (eV per atom): 1.7833

Unit cell a=4.467 b=4.467 c=4.467 alpha=60.00 beta=60.00 gamma=60.00
Sites, in units of the cell vectors:
Pt  0.500  0.500  0.500
Rb  0.000  0.000  0.000
B  0.750  0.750  0.750
B  0.250  0.250  0.250